1.
This record from OQMD via LeMat-Bulk describes DyTmCo2Si2C after structural relaxation. The functional is PBE.

Its crystal system is monoclinic. The calculated volume is 211 Å³ per cell. The electronic total energy is -6.89 eV per atom.

It has space group Cm (No. 8), with a = 10.516 Å, b = 3.854 Å, c = 6.752 Å, α = 90.00°, β = 129.52° and γ = 90.00°. The distinct sites, in fractional coordinates, are Dy at (0.000, 0.000, 0.000), Tm at (0.373, 0.500, 0.407), Co at (0.135, 0.500, 0.791), Co at (0.236, 0.000, 0.613), Si at (0.091, 0.500, 0.405), Si at (0.281, 0.000, 0.002) and C at (0.435, 0.000, 0.698).

***

2.
This record from OQMD via LeMat-Bulk describes Fe2SnW after structural relaxation. The functional is PBE.

Its crystal system is cubic. The calculated volume is 240 Å³ per cell. The electronic total energy is -7.98 eV per atom.

It has space group F-43m (No. 216), with a = 6.211 Å, b = 6.211 Å, c = 6.211 Å, α = 90.00°, β = 90.00° and γ = 90.00°. The distinct sites, in fractional coordinates, are Fe at (0.000, 0.000, 0.000), Fe at (0.250, 0.250, 0.250), Sn at (0.000, 0.000, 0.500) and W at (0.250, 0.250, 0.750).

***

3.
This record from OQMD via LeMat-Bulk describes LiZnPd2 after structural relaxation. The functional is PBE.

Its crystal system is cubic. The calculated volume is 233 Å³ per cell. The electronic total energy is -3.79 eV per atom.

It has space group F-43m (No. 216), with a = 6.152 Å, b = 6.152 Å, c = 6.152 Å, α = 90.00°, β = 90.00° and γ = 90.00°. The distinct sites, in fractional coordinates, are Li at (0.000, 0.000, 0.000), Zn at (0.250, 0.250, 0.750), Pd at (0.000, 0.000, 0.500) and Pd at (0.250, 0.250, 0.250).